1.
Density functional theory data (PBE) for an optimized crystal structure of Tb3Ni5S12.

a b c (Å): 12.513 12.513 12.513
angles (deg): 109.47 109.47 109.47
Atoms (fractional coordinates):
S (0.884, 0.584, 0.908)
S (0.824, 0.908, 0.025)
S (0.416, 0.299, 0.324)
S (0.084, 0.176, 0.201)
S (0.176, 0.084, 0.701)
S (0.525, 0.201, 0.116)
S (0.324, 0.799, 0.416)
S (0.584, 0.701, 0.676)
S (0.908, 0.084, 0.884)
S (0.676, 0.201, 0.584)
S (0.908, 0.824, 0.525)
S (0.299, 0.416, 0.824)
S (0.201, 0.676, 0.084)
S (0.092, 0.176, 0.475)
S (0.416, 0.116, 0.592)
S (0.025, 0.616, 0.701)
S (0.701, 0.116, 0.025)
S (0.384, 0.975, 0.799)
S (0.592, 0.975, 0.676)
S (0.884, 0.299, 0.475)
S (0.201, 0.525, 0.616)
S (0.299, 0.884, 0.975)
S (0.975, 0.384, 0.299)
S (0.799, 0.475, 0.384)
S (0.592, 0.616, 0.416)
S (0.676, 0.475, 0.592)
S (0.525, 0.324, 0.908)
S (0.116, 0.701, 0.525)
S (0.475, 0.676, 0.092)
S (0.025, 0.408, 0.824)
S (0.384, 0.408, 0.084)
S (0.799, 0.324, 0.916)
S (0.324, 0.525, 0.408)
S (0.616, 0.592, 0.916)
S (0.824, 0.916, 0.299)
S (0.176, 0.092, 0.975)
S (0.916, 0.092, 0.616)
S (0.475, 0.799, 0.884)
S (0.092, 0.916, 0.116)
S (0.584, 0.884, 0.408)
S (0.408, 0.384, 0.584)
S (0.116, 0.416, 0.092)
S (0.616, 0.025, 0.201)
S (0.084, 0.908, 0.384)
S (0.916, 0.824, 0.799)
S (0.408, 0.025, 0.324)
S (0.975, 0.592, 0.176)
S (0.701, 0.584, 0.176)
Ni (0.375, 0.250, 0.125)
Ni (0.500, 0.000, 0.500)
Ni (0.500, 0.500, 0.000)
Ni (0.750, 0.125, 0.875)
Ni (0.250, 0.875, 0.125)
Ni (0.000, 0.000, 0.000)
Ni (0.375, 0.125, 0.750)
Ni (0.000, 0.500, 0.000)
Ni (0.875, 0.250, 0.625)
Ni (0.125, 0.750, 0.375)
Ni (0.250, 0.375, 0.625)
Ni (0.000, 0.500, 0.500)
Ni (0.500, 0.500, 0.500)
Ni (0.625, 0.750, 0.875)
Ni (0.750, 0.625, 0.375)
Ni (0.000, 0.000, 0.500)
Ni (0.500, 0.000, 0.000)
Ni (0.875, 0.625, 0.750)
Ni (0.125, 0.375, 0.250)
Ni (0.625, 0.875, 0.250)
Tb (0.250, 0.625, 0.875)
Tb (0.625, 0.250, 0.375)
Tb (0.750, 0.875, 0.625)
Tb (0.250, 0.125, 0.375)
Tb (0.125, 0.875, 0.750)
Tb (0.875, 0.750, 0.125)
Tb (0.375, 0.750, 0.625)
Tb (0.750, 0.375, 0.125)
Tb (0.125, 0.250, 0.875)
Tb (0.875, 0.125, 0.250)
Tb (0.625, 0.375, 0.750)
Tb (0.375, 0.625, 0.250)

Formation energy from raw total energies: -0.835 eV/atom
Spin magnetization: 0.000 μB/atom
Symmetry: Ia-3d

---

2.
Density functional theory data (PBE) for an optimized crystal structure of CuHg2O3.

a b c (Å): 5.673 6.231 6.231
angles (deg): 119.59 90.00 90.00
Each line ends with the local moment (μB).
Atoms (fractional coordinates):
Hg (0.545, 0.503, 0.827)  0.00
Hg (0.545, 0.827, 0.503)  0.00
Hg (0.045, 0.173, 0.497)  0.00
Hg (0.045, 0.497, 0.173)  0.00
O (0.894, 0.124, 0.124)  0.18
O (0.460, 0.162, 0.455)  0.08
O (0.960, 0.838, 0.545)  0.08
O (0.460, 0.455, 0.162)  0.08
O (0.394, 0.876, 0.876)  0.18
O (0.960, 0.545, 0.838)  0.08
Cu (0.555, 0.147, 0.147)  0.49
Cu (0.055, 0.853, 0.853)  0.49

Formation energy from raw total energies: -0.247 eV/atom
Spin magnetization: 0.146 μB/atom
Symmetry: Cmc2_1

---

3.
Density functional theory data (PBE) for an optimized crystal structure of CaSmAlIn.

a b c (Å): 5.334 5.334 5.334
angles (deg): 60.00 60.00 60.00
Atoms (fractional coordinates):
Al (0.250, 0.250, 0.250)
Ca (0.000, 0.000, 0.000)
In (0.750, 0.750, 0.750)
Sm (0.500, 0.500, 0.500)

Calculated formation energy: -0.352 eV/atom
Spin magnetization: 0.000 μB/atom
Symmetry: F-43m

---

4.
Density functional theory data (PBE) for an optimized crystal structure of MnGePd.

a b c (Å): 4.299 2.777 4.307
angles (deg): 90.00 90.52 90.00
Each line ends with the local moment (μB).
Atoms (fractional coordinates):
Mn (0.434, 0.000, 0.876)  3.15
Ge (0.922, 0.500, 0.872)  -0.12
Pd (0.242, 0.500, 0.375)  0.16

Calculated formation energy: -0.011 eV/atom
Spin magnetization: 1.082 μB/atom
Symmetry: Pm

---

5.
Density functional theory data (PBE) for an optimized crystal structure of TbNdSbO2.

a b c (Å): 3.935 3.935 7.367
angles (deg): 105.49 105.49 90.00
Atoms (fractional coordinates):
Nd (0.837, 0.837, 0.675)
O (0.746, 0.246, 0.493)
O (0.246, 0.746, 0.493)
Tb (0.166, 0.166, 0.333)
Sb (0.503, 0.503, 0.006)

Formation energy from raw total energies: -2.644 eV/atom
Spin magnetization: 0.000 μB/atom
Symmetry: I4mm

---

6.
Density functional theory data (PBE) for an optimized crystal structure of Er9Tm2Th.

a b c (Å): 4.970 4.970 14.881
angles (deg): 90.00 90.00 90.00
Atoms (fractional coordinates):
Er (0.500, 0.500, 0.000)
Er (0.500, 0.000, 0.166)
Er (0.500, 0.500, 0.336)
Er (0.500, 0.500, 0.664)
Er (0.000, 0.500, 0.834)
Er (0.500, 0.000, 0.834)
Er (0.500, 0.000, 0.500)
Er (0.000, 0.500, 0.166)
Er (0.000, 0.500, 0.500)
Th (0.000, 0.000, 0.000)
Tm (0.000, 0.000, 0.334)
Tm (0.000, 0.000, 0.666)

Calculated formation energy: 0.030 eV/atom
Spin magnetization: 0.000 μB/atom
Symmetry: P4/mmm

---

7.
Density functional theory data (PBE) for an optimized crystal structure of BiAsIBr2.

a b c (Å): 5.540 5.540 6.226
angles (deg): 90.00 90.00 90.00
Each line ends with the local moment (μB).
Atoms (fractional coordinates):
Bi (0.000, 0.000, 0.000)  -0.03
I (0.500, 0.500, 0.500)  -0.11
Br (0.000, 0.500, 0.000)  0.01
Br (0.500, 0.000, 0.000)  0.01
As (0.000, 0.000, 0.500)  0.52

Formation energy from raw total energies: 0.161 eV/atom
Spin magnetization: 0.199 μB/atom
Symmetry: P4/mmm

---

8.
Density functional theory data (PBE) for an optimized crystal structure of LiCa2La.

a b c (Å): 6.372 6.372 3.750
angles (deg): 90.00 90.00 107.72
Atoms (fractional coordinates):
La (0.500, 0.000, 0.500)
Ca (0.500, 0.500, 0.000)
Ca (0.000, 0.000, 0.000)
Li (0.000, 0.500, 0.500)

Calculated formation energy: 0.139 eV/atom
Spin magnetization: 0.000 μB/atom
Symmetry: Cmmm

---

9.
Density functional theory data (PBE) for an optimized crystal structure of La2TeH4.

a b c (Å): 4.104 4.104 8.259
angles (deg): 75.62 75.62 60.00
Atoms (fractional coordinates):
La (0.761, 0.761, 0.716)
La (0.239, 0.239, 0.284)
H (0.136, 0.136, 0.592)
H (0.435, 0.435, 0.695)
H (0.565, 0.565, 0.305)
H (0.864, 0.864, 0.408)
Te (0.000, 0.000, 0.000)

Energy: -32.669 eV per cell
Spin magnetization: 0.000 μB/atom
Symmetry: R-3m

---

10.
Density functional theory data (PBE) for an optimized crystal structure of Na3MgPb6.

a b c (Å): 5.574 9.162 12.288
angles (deg): 113.15 90.00 90.00
Atoms (fractional coordinates):
Na (0.750, 0.826, 0.373)
Na (0.750, 0.202, 0.980)
Na (0.250, 0.604, 0.228)
Na (0.250, 0.174, 0.627)
Na (0.750, 0.396, 0.772)
Na (0.250, 0.798, 0.020)
Pb (0.250, 0.399, 0.938)
Pb (0.750, 0.426, 0.287)
Pb (0.250, 0.209, 0.146)
Pb (0.750, 0.982, 0.668)
Pb (0.250, 0.018, 0.332)
Pb (0.250, 0.770, 0.524)
Pb (0.750, 0.002, 0.168)
Pb (0.250, 0.998, 0.832)
Pb (0.750, 0.601, 0.062)
Pb (0.250, 0.574, 0.713)
Pb (0.750, 0.230, 0.476)
Pb (0.750, 0.791, 0.854)
Mg (0.750, 0.607, 0.570)
Mg (0.250, 0.393, 0.430)

Calculated formation energy: -0.114 eV/atom
Spin magnetization: 0.000 μB/atom
Symmetry: P2_1/m

---

11.
Density functional theory data (PBE) for an optimized crystal structure of Ho2HfSc.

a b c (Å): 4.683 4.754 4.754
angles (deg): 90.00 90.00 90.00
Atoms (fractional coordinates):
Ho (0.000, 0.500, 0.000)
Ho (0.000, 0.000, 0.500)
Hf (0.500, 0.500, 0.500)
Sc (0.500, 0.000, 0.000)

Calculated formation energy: 0.125 eV/atom
Spin magnetization: 0.000 μB/atom
Symmetry: P4/mmm

---

12.
Density functional theory data (PBE) for an optimized crystal structure of Zn2TcO6.

a b c (Å): 4.706 4.706 9.176
angles (deg): 90.00 90.00 90.00
Each line ends with the local moment (μB).
Atoms (fractional coordinates):
O (0.213, 0.787, 0.500)  0.16
O (0.713, 0.713, 0.000)  0.16
O (0.693, 0.693, 0.651)  0.15
O (0.693, 0.693, 0.349)  0.15
O (0.807, 0.193, 0.849)  0.15
O (0.193, 0.807, 0.849)  0.15
O (0.787, 0.213, 0.500)  0.16
O (0.307, 0.307, 0.651)  0.15
O (0.287, 0.287, 0.000)  0.16
O (0.307, 0.307, 0.349)  0.15
O (0.193, 0.807, 0.151)  0.15
O (0.807, 0.193, 0.151)  0.15
Tc (0.500, 0.500, 0.500)  -0.13
Tc (0.000, 0.000, 0.000)  -0.13
Zn (0.500, 0.500, 0.162)  0.04
Zn (0.000, 0.000, 0.662)  0.04
Zn (0.500, 0.500, 0.838)  0.04
Zn (0.000, 0.000, 0.338)  0.04

Formation energy from raw total energies: -1.033 eV/atom
Spin magnetization: 0.113 μB/atom
Symmetry: P4_2/mnm

---

- Look up the spin magnetization of the twelfth one.
  0.113 μB/atom